Density functional theory data (GGA-PBEsol) for crystalline LiCaRu2 at its relaxed geometry.

Cell lengths 2.867, 3.616, 6.645 Å; angles 90.00, 90.08, 90.00 degrees
Positions (direct):
Li 0.499 0.500 0.807
Ru 0.500 0.500 0.185
Ru 0.999 0.000 0.026
Ca 0.001 0.000 0.483

Computed properties:
M_tot   0.0 Bohr magnetons per cell
DFT formation energy   0.2991 eV/atom


Density functional theory data (GGA-PBEsol) for crystalline KBiC3 at its relaxed geometry.

Cell lengths 4.622, 4.622, 4.622 Å; angles 90.00, 90.00, 90.00 degrees
Positions (direct):
Bi 0.000 0.000 0.000
K 0.500 0.500 0.500
C 0.500 0.000 0.000
C 0.000 0.500 0.000
C 0.000 0.000 0.500

Computed properties:
M_tot   1.7 Bohr magnetons per cell
DFT formation energy   2.9020 eV/atom


Density functional theory data (GGA-PBEsol) for crystalline FePPb3 at its relaxed geometry.

Cell lengths 5.293, 5.293, 5.293 Å; angles 90.00, 90.00, 90.00 degrees
Positions (direct):
Pb 0.500 0.000 0.000
Pb 0.000 0.000 0.500
Pb 0.000 0.500 0.000
P 0.000 0.000 0.000
Fe 0.500 0.500 0.500

Computed properties:
M_tot   3.1 Bohr magnetons per cell
DFT formation energy   1.0984 eV/atom


Density functional theory data (GGA-PBEsol) for crystalline HWSN2 at its relaxed geometry.

Cell lengths 2.850, 3.823, 3.823 Å; angles 90.00, 90.00, 90.00 degrees
Positions (direct):
W 0.500 0.500 0.500
S 0.500 0.000 0.000
H 0.000 0.000 0.000
N 0.000 0.500 0.000
N 0.000 0.000 0.500

Computed properties:
Final energy   -6.325 eV per atom
M_tot   0.0 Bohr magnetons per cell


Density functional theory data (GGA-PBEsol) for crystalline BaIrIN2 at its relaxed geometry.

Cell lengths 4.340, 4.340, 6.800 Å; angles 90.00, 90.00, 90.00 degrees
Positions (direct):
I 0.000 0.000 0.500
Ir 0.500 0.500 0.500
Ba 0.000 0.000 0.000
N 0.500 0.000 0.000
N 0.000 0.500 0.000

Computed properties:
E_form (uncorrected)   2.304 eV per atom
M_tot   3.3 Bohr magnetons per cell


Density functional theory data (GGA-PBEsol) for crystalline AgP5 at its relaxed geometry.

Cell lengths 3.180, 3.976, 7.995 Å; angles 90.00, 101.47, 90.00 degrees
Positions (direct):
Ag 0.990 0.000 0.980
P 0.253 0.000 0.505
P 0.156 0.500 0.313
P 0.846 0.500 0.692
P 0.644 0.000 0.288
P 0.444 0.500 0.888

Computed properties:
M_tot   0.0 Bohr magnetons per cell
DFT formation energy   0.3682 eV/atom


Density functional theory data (GGA-PBEsol) for crystalline HfZnI2O at its relaxed geometry.

Cell lengths 3.940, 5.748, 5.748 Å; angles 90.00, 90.00, 90.00 degrees
Positions (direct):
Zn 0.500 0.500 0.500
I 0.000 0.000 0.500
I 0.000 0.500 0.000
Hf 0.000 0.000 0.000
O 0.500 0.000 0.000

Computed properties:
E_form (uncorrected)   -1.007 eV per atom
M_tot   0.0 Bohr magnetons per cell


Density functional theory data (GGA-PBEsol) for crystalline Li2PtAu at its relaxed geometry.

Cell lengths 2.752, 4.577, 4.577 Å; angles 106.25, 90.00, 90.00 degrees
Positions (direct):
Pt 0.500 0.000 0.000
Au 0.500 0.500 0.500
Li 0.000 0.500 0.000
Li 0.000 0.000 0.500

Computed properties:
M_tot   0.0 Bohr magnetons per cell
DFT formation energy   -0.4956 eV/atom